Compound: PuHgF5
Source: Alexandria
Functional: PBE-GGA
Structure: optimized geometry

a = 4.066 Å, b = 7.361 Å, c = 10.176 Å
α = 71.10°, β = 79.34°, γ = 90.00°
Space group P-1 (No. 2)
Inequivalent atoms, fractional coordinates:
Pu: 0.000 0.000 0.000
Pu: 0.500 0.500 0.000
Hg: 0.247 0.361 0.503
F: 0.010 0.673 0.979
F: 0.103 0.145 0.784
F: 0.254 0.781 0.497
F: 0.397 0.447 0.216
F: 0.489 0.153 0.024

Output
- Energy relative to the elements, uncorrected: -2.709 eV per atom
- Magnetization: 4.241 μB/f.u.